VASP calculation (PBE-GGA) on an optimized crystal structure of Tb2Zn2Co2C.

Structure (CIF):
```
data_Tb2Zn2Co2C
_cell_length_a 10.7667
_cell_length_b 3.9130
_cell_length_c 7.0363
_cell_angle_alpha 90.00
_cell_angle_beta 128.17
_cell_angle_gamma 90.00
_symmetry_space_group_name_H-M 'C 1 2/m 1'
_symmetry_Int_Tables_number 12
_symmetry_space_group_name_Hall '-C 2y'
loop_
_atom_site_label
_atom_site_fract_x
_atom_site_fract_y
_atom_site_fract_z
Tb1 0.0537 0.0000 0.2814
Zn1 0.1546 0.5000 0.6996
Co1 0.1912 0.5000 0.0823
C1 0.0000 0.5000 0.0000
```

Summary:
formation energy: -290 meV/atom
M_tot: 0.00 Bohr magnetons per cell